# 1
A crystal of Sc3Si4Ni2 relaxed with PBEsol. Source: the Alexandria database, functional meta-GGA SCAN.

Geometry as POSCAR:
```
Sc3Si4Ni2
1.0
11.584 0.000 0.000
0.000 3.953 0.000
0.000 0.000 11.790
Sc Si Ni
12 16 8
direct
0.020 0.250 0.187
0.197 0.750 0.579
0.248 0.250 0.348
0.252 0.750 0.848
0.303 0.250 0.079
0.480 0.750 0.687
0.520 0.250 0.313
0.697 0.750 0.921
0.748 0.250 0.152
0.752 0.750 0.652
0.803 0.250 0.421
0.980 0.750 0.813
0.058 0.250 0.467
0.107 0.250 0.936
0.121 0.250 0.731
0.174 0.750 0.201
0.326 0.250 0.701
0.379 0.750 0.231
0.393 0.750 0.436
0.442 0.750 0.967
0.558 0.250 0.033
0.607 0.250 0.564
0.621 0.250 0.769
0.674 0.750 0.299
0.826 0.250 0.799
0.879 0.750 0.269
0.893 0.750 0.064
0.942 0.750 0.533
0.052 0.750 0.366
0.090 0.750 0.027
0.410 0.250 0.527
0.448 0.250 0.866
0.552 0.750 0.134
0.590 0.750 0.473
0.910 0.250 0.973
0.948 0.250 0.634
```

Values from the calculation:
SG = No. 62
E_form (uncorrected) = -0.87 eV/atom



# 2
A crystal of ScNiSn2 relaxed with PBEsol. Source: the Alexandria database, functional meta-GGA SCAN.

Geometry as POSCAR:
```
ScNiSn2
1.0
0.000 3.353 3.353
3.353 0.000 3.353
3.353 3.353 0.000
Sc Ni Sn
1 1 2
direct
0.000 0.000 0.000
0.500 0.500 0.500
0.250 0.250 0.250
0.750 0.750 0.750
```

Values from the calculation:
energy of formation = -0.11 eV/atom
SG = No. 225



# 3
A crystal of ScNiSn3 relaxed with PBEsol. Source: the Alexandria database, functional meta-GGA SCAN.

Geometry as POSCAR:
```
ScNiSn3
1.0
5.329 0.000 0.000
0.000 5.329 0.000
0.000 0.000 5.329
Sc Ni Sn
1 1 3
direct
0.000 0.000 0.000
0.500 0.500 0.500
0.000 0.000 0.500
0.000 0.500 0.000
0.500 0.000 0.000
```

Values from the calculation:
energy of formation = 0.99 eV/atom
SG = No. 221



What did the third record say?
A crystal of ScNiSn3 relaxed with PBEsol. Source: the Alexandria database, functional meta-GGA SCAN.

Geometry as POSCAR:
```
ScNiSn3
1.0
5.329 0.000 0.000
0.000 5.329 0.000
0.000 0.000 5.329
Sc Ni Sn
1 1 3
direct
0.000 0.000 0.000
0.500 0.500 0.500
0.000 0.000 0.500
0.000 0.500 0.000
0.500 0.000 0.000
```

Values from the calculation:
energy of formation = 0.99 eV/atom
SG = No. 221